(1)
## Bi2O3 (PBE-GGA)

Data for a relaxed Bi2O3 crystal.

a b c (Å): 3.542 11.742 19.810
angles (deg): 90.00 90.00 90.00
Space group Cmcm (No. 63)
Inequivalent atoms, fractional coordinates:
Bi  0.000  0.098  0.146 (multiplicity 8)
Bi  0.000  0.367  0.041 (multiplicity 8)
O  0.000  0.000  0.000 (multiplicity 4)
O  0.000  0.125  0.250 (multiplicity 4)
O  0.000  0.260  0.566 (multiplicity 8)
O  0.000  0.482  0.139 (multiplicity 8)

## Properties
- E_tot (eV/cell) = -223.0
- raw formation energy (eV/atom) = -1.048

(2)
## Y2CoBi2 (PBE-GGA)

Data for a relaxed Y2CoBi2 crystal.

a b c (Å): 7.169 7.169 4.912
angles (deg): 90.00 90.00 90.00
Space group P4/mbm (No. 127)
Inequivalent atoms, fractional coordinates:
Y  0.168  0.332  0.000 (multiplicity 4)
Co  0.000  0.000  0.500 (multiplicity 2)
Bi  0.154  0.654  0.500 (multiplicity 4)

## Properties
- energy relative to the elements (kJ per mole of atoms) = -24
- E_tot (eV/cell) = -58.1

(3)
## PmDy2ScTl2 (PBE-GGA)

Data for a relaxed PmDy2ScTl2 crystal.

a b c (Å): 4.985 9.825 6.946
angles (deg): 90.00 90.00 90.00
Space group Pmc2_1 (No. 26)
Inequivalent atoms, fractional coordinates:
Pm  0.000  0.049  0.000 (multiplicity 2)
Dy  0.000  0.314  0.392 (multiplicity 2)
Dy  0.500  0.450  0.099 (multiplicity 2)
Sc  0.500  0.198  0.711 (multiplicity 2)
Tl  0.000  0.364  0.838 (multiplicity 2)
Tl  0.500  0.123  0.277 (multiplicity 2)

## Properties
- energy relative to the elements (kJ per mole of atoms) = -25
- E_tot (eV/cell) = -53.1

(4)
## NpSc3Tl4Te8 (PBE-GGA)

Data for a relaxed NpSc3Tl4Te8 crystal.

a b c (Å): 14.975 8.644 9.549
angles (deg): 90.00 121.53 90.00
Space group C2/m (No. 12)
Inequivalent atoms, fractional coordinates:
Np  0.000  0.000  0.000 (multiplicity 2)
Sc  0.000  0.500  0.000 (multiplicity 2)
Sc  0.250  0.250  0.000 (multiplicity 4)
Tl  0.000  0.000  0.500 (multiplicity 2)
Tl  0.000  0.500  0.500 (multiplicity 2)
Tl  0.250  0.250  0.500 (multiplicity 4)
Te  0.017  0.260  0.793 (multiplicity 8)
Te  0.234  0.500  0.201 (multiplicity 4)
Te  0.243  0.000  0.206 (multiplicity 4)

## Properties
- E_tot (eV/cell) = -159.5
- raw formation energy (eV/atom) = -0.826